Crystalline CsAl2TeS6 at its relaxed geometry, computed with PBE-GGA.

Values from the calculation:
* density of states at the Fermi level: 0.008 states/eV per atom
* E_tot: -165.867 eV for the cell shown
* formation energy (no corrections): -0.52 eV/atom
* density: 3.1 g/cm3

Cell and atoms, written as CIF:
```
data_CsAl2TeS6
_chemical_formula_sum 'Cs4 Al8 Te4 S24'
_space_group_name_H-M_alt 'C 1 2/c 1'
_space_group_IT_number 15
_cell_length_a 11.941
_cell_length_b 13.527
_cell_length_c 6.816
_cell_angle_alpha 90.00
_cell_angle_beta 96.34
_cell_angle_gamma 90.00
loop_
_space_group_symop_operation_xyz
'x,y,z'
'-x,-y,-z'
'-x,y,-z+1/2'
'x,-y,z+1/2'
'x+1/2,y+1/2,z'
'-x+1/2,-y+1/2,-z'
'-x+1/2,y+1/2,-z+1/2'
'x+1/2,-y+1/2,z+1/2'
loop_
_atom_site_label
_atom_site_type_symbol
_atom_site_fract_x
_atom_site_fract_y
_atom_site_fract_z
_atom_site_occupancy
Cs1 Cs 0.000 0.055 0.250 1
Al1 Al 0.199 0.412 0.238 1
Te1 Te 0.000 0.291 0.750 1
S1 S 0.087 0.284 0.131 1
S2 S 0.133 0.170 0.640 1
S3 S 0.188 0.447 0.564 1
```